No. 1
A plane-wave DFT calculation with PBEsol was carried out for crystalline Ca2LaSi2 at its relaxed geometry.

Cell: 5.211 5.211 10.315 Å, 90.00 90.00 90.00°
Fractional positions:
Ca (0.000, 0.000, 0.155)
Ca (0.000, 0.000, 0.845)
Ca (0.500, 0.500, 0.345)
Ca (0.500, 0.500, 0.655)
La (0.000, 0.000, 0.500)
La (0.500, 0.500, 0.000)
Si (0.000, 0.500, 0.250)
Si (0.000, 0.500, 0.750)
Si (0.500, 0.000, 0.250)
Si (0.500, 0.000, 0.750)

Properties
Energy relative to the elements, uncorrected ... 4 meV/atom
DFT total energy ... -4.217 eV/atom
V ... 28.0 Å³ per atom
DOS(E_F) ... 4.40 states/eV/f.u.

***

No. 2
A plane-wave DFT calculation with PBEsol was carried out for crystalline CaLa2Si at its relaxed geometry.

Cell: 4.017 5.092 11.394 Å, 90.00 90.00 90.00°
Fractional positions:
Ca (0.000, 0.000, 0.000)
Ca (0.500, 0.500, 0.500)
La (0.000, 0.500, 0.202)
La (0.000, 0.500, 0.798)
La (0.500, 0.000, 0.298)
La (0.500, 0.000, 0.702)
Si (0.000, 0.000, 0.500)
Si (0.500, 0.500, 0.000)

Properties
Energy relative to the elements, uncorrected ... -231 meV/atom
DFT total energy ... -4.875 eV/atom
V ... 29.1 Å³ per atom
DOS(E_F) ... 3.47 states/eV/f.u.

***

No. 3
A plane-wave DFT calculation with PBEsol was carried out for crystalline CaLa2Si at its relaxed geometry.

Cell: 3.699 3.699 31.294 Å, 90.00 90.00 120.00°
Fractional positions:
Ca (0.000, 0.000, 0.000)
Ca (0.333, 0.667, 0.667)
Ca (0.667, 0.333, 0.333)
La (0.000, 0.000, 0.227)
La (0.000, 0.000, 0.466)
La (0.333, 0.667, 0.133)
La (0.333, 0.667, 0.894)
La (0.667, 0.333, 0.561)
La (0.667, 0.333, 0.800)
Si (0.000, 0.000, 0.732)
Si (0.333, 0.667, 0.398)
Si (0.667, 0.333, 0.065)

Properties
Energy relative to the elements, uncorrected ... -45 meV/atom
DFT total energy ... -4.688 eV/atom
V ... 30.9 Å³ per atom
DOS(E_F) ... 5.43 states/eV/f.u.

***

No. 4
A plane-wave DFT calculation with PBEsol was carried out for crystalline Ca4LaSi at its relaxed geometry.

Cell: 6.583 6.583 6.583 Å, 60.00 60.00 60.00°
Fractional positions:
Ca (0.376, 0.376, 0.376)
Ca (0.376, 0.376, 0.873)
Ca (0.376, 0.873, 0.376)
Ca (0.873, 0.376, 0.376)
La (0.000, 0.000, 0.000)
Si (0.750, 0.750, 0.750)

Properties
Energy relative to the elements, uncorrected ... 468 meV/atom
DFT total energy ... -2.803 eV/atom
V ... 33.6 Å³ per atom
DOS(E_F) ... 7.82 states/eV/f.u.

***

No. 5
A plane-wave DFT calculation with PBEsol was carried out for crystalline CaLa2Si at its relaxed geometry.

Cell: 4.083 4.083 30.463 Å, 90.00 90.00 120.00°
Fractional positions:
Ca (0.000, 0.000, 0.000)
Ca (0.333, 0.667, 0.667)
Ca (0.667, 0.333, 0.333)
La (0.000, 0.000, 0.224)
La (0.000, 0.000, 0.776)
La (0.333, 0.667, 0.443)
La (0.333, 0.667, 0.890)
La (0.667, 0.333, 0.110)
La (0.667, 0.333, 0.557)
Si (0.000, 0.000, 0.500)
Si (0.333, 0.667, 0.167)
Si (0.667, 0.333, 0.833)

Properties
Energy relative to the elements, uncorrected ... -188 meV/atom
DFT total energy ... -4.831 eV/atom
V ... 36.6 Å³ per atom
DOS(E_F) ... 5.27 states/eV/f.u.

***

No. 6
A plane-wave DFT calculation with PBEsol was carried out for crystalline CaLaSi3 at its relaxed geometry.

Cell: 5.369 5.369 5.369 Å, 90.00 90.00 90.00°
Fractional positions:
Ca (0.000, 0.000, 0.000)
La (0.500, 0.500, 0.500)
Si (0.000, 0.500, 0.500)
Si (0.500, 0.000, 0.500)
Si (0.500, 0.500, 0.000)

Properties
Energy relative to the elements, uncorrected ... 716 meV/atom
DFT total energy ... -4.228 eV/atom
V ... 31.0 Å³ per atom
DOS(E_F) ... 3.89 states/eV/f.u.

***

Which value of V does entry 4 give? 33.6 Å³ per atom

***

What is the formula in the fifth record? CaLa2Si